(1)
Below is a relaxed Zr4NiSb2As crystal, with properties calculated at the PBE level.

Calculated values
SG: No. 164
VASP energy in eV for the cell shown: -58.00
Magnetization in Bohr magnetons per cell: 0.005

Lattice parameters (Å, degrees): 3.8691 3.8691 13.5967 90.00 90.00 120.00
Fractional coordinates of all 8 atoms:
Zr1 0.3333 0.6667 0.1028
Zr2 0.3333 0.6667 0.3895
Zr3 0.6667 0.3333 0.6105
Zr4 0.6667 0.3333 0.8972
Ni1 0.0000 0.0000 0.0000
Sb1 0.3333 0.6667 0.7527
Sb2 0.6667 0.3333 0.2473
As1 0.0000 0.0000 0.5000



(2)
Below is a relaxed CdSnPb crystal, with properties calculated at the PBE level.

Calculated values
SG: No. 216
VASP energy in eV for the cell shown: -8.36

Lattice parameters (Å, degrees): 5.1271 5.1271 5.1271 60.00 60.00 60.00
Fractional coordinates of all 3 atoms:
Cd1 0.0000 0.0000 0.0000
Sn1 0.2500 0.2500 0.2500
Pb1 0.5000 0.5000 0.5000



(3)
Below is a relaxed HgTePO crystal, with properties calculated at the PBE level.

Calculated values
SG: No. 26
VASP energy in eV for the cell shown: -28.01

Lattice parameters (Å, degrees): 3.8129 6.4386 6.9267 90.00 90.00 90.00
Fractional coordinates of all 8 atoms:
Hg1 0.0000 0.0377 0.0000
Hg2 0.0000 0.9623 0.5000
Te1 0.5000 0.4747 0.6147
Te2 0.5000 0.5253 0.1147
P1 0.0000 0.2847 0.2866
P2 0.0000 0.7153 0.7866
O1 0.5000 0.2989 0.8539
O2 0.5000 0.7011 0.3539



(4)
Below is a relaxed Cs2Np2S5 crystal, with properties calculated at the PBE level.

Calculated values
SG: No. 64
VASP energy in eV for the cell shown: -119.93
Magnetization in Bohr magnetons per cell: 11.992

Lattice parameters (Å, degrees): 9.2970 9.2970 7.6127 90.00 90.00 48.31
Fractional coordinates of all 18 atoms:
Cs1 0.2060 0.2060 0.0000
Cs2 0.2940 0.2940 0.5000
Cs3 0.7060 0.7060 0.5000
Cs4 0.7940 0.7940 0.0000
Np1 0.1643 0.8357 0.6644
Np2 0.3357 0.6643 0.1644
Np3 0.6643 0.3357 0.8356
Np4 0.8357 0.1643 0.3356
S1 0.0000 0.0000 0.0000
S2 0.0436 0.7572 0.3570
S3 0.2428 0.9564 0.3570
S4 0.2572 0.5436 0.8570
S5 0.4564 0.7428 0.8570
S6 0.5000 0.5000 0.5000
S7 0.5436 0.2572 0.1430
S8 0.7428 0.4564 0.1430
S9 0.7572 0.0436 0.6430
S10 0.9564 0.2428 0.6430



(5)
Below is a relaxed CdNiSn2 crystal, with properties calculated at the PBE level.

Calculated values
SG: No. 216
VASP energy in eV for the cell shown: -13.29
Magnetization in Bohr magnetons per cell: 0.002

Lattice parameters (Å, degrees): 4.9499 4.9499 4.9499 60.00 60.00 60.00
Fractional coordinates of all 4 atoms:
Cd1 0.0000 0.0000 0.0000
Ni1 0.7500 0.7500 0.7500
Sn1 0.2500 0.2500 0.2500
Sn2 0.5000 0.5000 0.5000



(6)
Below is a relaxed BaTb2ZnO5 crystal, with properties calculated at the PBE level.

Calculated values
SG: No. 62
VASP energy in eV for the cell shown: -251.88
Magnetization in Bohr magnetons per cell: 0.003

Lattice parameters (Å, degrees): 12.3902 5.7365 7.0976 90.00 90.00 90.00
Fractional coordinates of all 36 atoms:
Ba1 0.1001 0.2500 0.0766
Ba2 0.3999 0.7500 0.5766
Ba3 0.6001 0.2500 0.4234
Ba4 0.8999 0.7500 0.9234
Tb1 0.0744 0.7500 0.3999
Tb2 0.2078 0.2500 0.6192
Tb3 0.2922 0.7500 0.1192
Tb4 0.4256 0.2500 0.8999
Tb5 0.5744 0.7500 0.1001
Tb6 0.7078 0.2500 0.8808
Tb7 0.7922 0.7500 0.3808
Tb8 0.9256 0.2500 0.6001
Zn1 0.1510 0.7500 0.8079
Zn2 0.3490 0.2500 0.3079
Zn3 0.6510 0.7500 0.6921
Zn4 0.8490 0.2500 0.1921
O1 0.0652 0.5025 0.6661
O2 0.0652 0.9975 0.6661
O3 0.1000 0.7500 0.0740
O4 0.2241 0.0015 0.3575
O5 0.2241 0.4985 0.3575
O6 0.2759 0.5015 0.8575
O7 0.2759 0.9985 0.8575
O8 0.4000 0.2500 0.5740
O9 0.4348 0.0025 0.1661
O10 0.4348 0.4975 0.1661
O11 0.5652 0.5025 0.8339
O12 0.5652 0.9975 0.8339
O13 0.6000 0.7500 0.4260
O14 0.7241 0.0015 0.1425
O15 0.7241 0.4985 0.1425
O16 0.7759 0.5015 0.6425
O17 0.7759 0.9985 0.6425
O18 0.9000 0.2500 0.9260
O19 0.9348 0.0025 0.3339
O20 0.9348 0.4975 0.3339



(7)
Below is a relaxed AlFeNiHg crystal, with properties calculated at the PBE level.

Calculated values
SG: No. 216
VASP energy in eV for the cell shown: -17.29
Magnetization in Bohr magnetons per cell: 2.821

Lattice parameters (Å, degrees): 4.3494 4.3494 4.3494 60.00 60.00 60.00
Fractional coordinates of all 4 atoms:
Al1 0.0000 0.0000 0.0000
Fe1 0.2500 0.2500 0.2500
Ni1 0.5000 0.5000 0.5000
Hg1 0.7500 0.7500 0.7500



(8)
Below is a relaxed Y3Er4Fe2Te2 crystal, with properties calculated at the PBE level.

Calculated values
SG: No. 44
VASP energy in eV for the cell shown: -66.04
Magnetization in Bohr magnetons per cell: 0.734

Lattice parameters (Å, degrees): 9.3314 9.3314 9.3314 155.99 65.30 120.29
Fractional coordinates of all 11 atoms:
Y1 0.0000 0.0000 0.0000
Y2 0.6121 0.2619 0.3501
Y3 0.9118 0.2619 0.6499
Er1 0.2790 0.4150 0.8640
Er2 0.3097 0.6232 0.6866
Er3 0.5509 0.4150 0.1359
Er4 0.9366 0.6232 0.3134
Fe1 0.1704 0.9316 0.2388
Fe2 0.6929 0.9316 0.7612
Te1 0.2654 0.7654 0.5000
Te2 0.6615 0.6615 0.0000



(9)
Below is a relaxed PrNbB4 crystal, with properties calculated at the PBE level.

Calculated values
SG: No. 191
VASP energy in eV for the cell shown: -45.07
Magnetization in Bohr magnetons per cell: 0.008

Lattice parameters (Å, degrees): 3.1727 3.1727 7.6627 90.00 90.00 120.00
Fractional coordinates of all 6 atoms:
Pr1 0.0000 0.0000 0.0000
Nb1 0.0000 0.0000 0.5000
B1 0.3333 0.6667 0.2839
B2 0.3333 0.6667 0.7161
B3 0.6667 0.3333 0.2839
B4 0.6667 0.3333 0.7161



(10)
Below is a relaxed NaLaSnPt crystal, with properties calculated at the PBE level.

Calculated values
SG: No. 216
VASP energy in eV for the cell shown: -18.21
Magnetization in Bohr magnetons per cell: 0.000

Lattice parameters (Å, degrees): 5.1948 5.1948 5.1948 60.00 60.00 60.00
Fractional coordinates of all 4 atoms:
Na1 0.0000 0.0000 0.0000
La1 0.5000 0.5000 0.5000
Sn1 0.7500 0.7500 0.7500
Pt1 0.2500 0.2500 0.2500



(11)
Below is a relaxed Hf4AsPN2 crystal, with properties calculated at the PBE level.

Calculated values
SG: No. 187
VASP energy in eV for the cell shown: -77.55
Magnetization in Bohr magnetons per cell: 0.000

Lattice parameters (Å, degrees): 3.3795 3.3795 12.0645 90.00 90.00 120.00
Fractional coordinates of all 8 atoms:
Hf1 0.0000 0.0000 0.1450
Hf2 0.0000 0.0000 0.8550
Hf3 0.3333 0.6667 0.3447
Hf4 0.3333 0.6667 0.6553
As1 0.0000 0.0000 0.5000
P1 0.3333 0.6667 0.0000
N1 0.6667 0.3333 0.2458
N2 0.6667 0.3333 0.7542



(12)
Below is a relaxed LiPrPt4 crystal, with properties calculated at the PBE level.

Calculated values
SG: No. 216
VASP energy in eV for the cell shown: -36.05
Magnetization in Bohr magnetons per cell: 0.009

Lattice parameters (Å, degrees): 5.4051 5.4051 5.4051 60.00 60.00 60.00
Fractional coordinates of all 6 atoms:
Li1 0.0000 0.0000 0.0000
Pr1 0.7500 0.7500 0.7500
Pt1 0.3744 0.3744 0.3744
Pt2 0.3744 0.3744 0.8768
Pt3 0.3744 0.8768 0.3744
Pt4 0.8768 0.3744 0.3744